(1)
## NaTl3In6 (PBE-GGA)

Data for a relaxed structure of NaTl3In6.

a b c (Å): 7.903 7.903 7.903
angles (deg): 113.91 113.91 113.91
Positions (direct):
Na 0.000 0.000 0.000
Tl 0.301 0.301 0.933
Tl 0.301 0.933 0.301
Tl 0.933 0.301 0.301
In 0.335 0.863 0.863
In 0.470 0.470 0.709
In 0.470 0.709 0.470
In 0.709 0.470 0.470
In 0.863 0.335 0.863
In 0.863 0.863 0.335

Computed properties:
As for the energy: -2.395 eV/atom. The energy above the most stable polymorph in this dataset comes out at 0.69 eV/f.u. For the formation energy from the elements, the calculation gives 0.090 eV per atom. As for the crystal system: trigonal. Its total magnetization is 0.000 μB per formula unit.

=====

(2)
## Na4Tl2In (PBE-GGA)

Data for a relaxed structure of Na4Tl2In.

a b c (Å): 5.846 5.846 15.809
angles (deg): 90.00 90.00 90.00
Positions (direct):
Na 0.000 0.000 0.197
Na 0.000 0.000 0.803
Na 0.000 0.500 0.000
Na 0.000 0.500 0.500
Na 0.500 0.000 0.000
Na 0.500 0.000 0.500
Na 0.500 0.500 0.303
Na 0.500 0.500 0.697
Tl 0.000 0.000 0.398
Tl 0.000 0.000 0.602
Tl 0.500 0.500 0.102
Tl 0.500 0.500 0.898
In 0.000 0.000 0.000
In 0.500 0.500 0.500

Computed properties:
As for the energy: -1.709 eV/atom. The energy above the most stable polymorph in this dataset comes out at 1.31 eV/f.u. For the formation energy from the elements, the calculation gives 0.112 eV per atom. As for the crystal system: tetragonal. Its total magnetization is 0.000 μB per formula unit.

=====

(3)
## NaTl4In6 (PBE-GGA)

Data for a relaxed structure of NaTl4In6.

a b c (Å): 9.149 9.149 4.722
angles (deg): 90.00 90.00 120.00
Positions (direct):
Na 0.000 0.000 0.000
Tl 0.194 0.388 0.500
Tl 0.194 0.806 0.500
Tl 0.612 0.806 0.500
Tl 0.667 0.333 0.000
In 0.071 0.535 0.000
In 0.399 0.200 0.500
In 0.465 0.535 0.000
In 0.465 0.929 0.000
In 0.800 0.200 0.500
In 0.800 0.601 0.500

Computed properties:
As for the energy: -2.405 eV/atom. For the formation energy from the elements, the calculation gives 0.069 eV per atom. As for the crystal system: hexagonal. Its total magnetization is 0.000 μB per formula unit.